No. 1
SrCoPb2 after structural relaxation, computed with PBE-GGA.

- Final energy: -4.058 eV per atom
- V: 110 Å³ per cell
- DFT formation energy: -7 meV per atom
- Symmetry: R3m (160)

abc: 6.7426 6.7426 6.7426
angles: 39.17 39.17 39.17
Site moments in Bohr magnetons follow the coordinates.
Sites, in units of the cell vectors:
Co: 0.6746 0.6746 0.6746  0.66
Sr: 0.4955 0.4955 0.4955  -0.02
Pb: 0.2813 0.2813 0.2813  -0.02
Pb: 0.0487 0.0487 0.0487  -0.02

No. 2
Sc6AlTl after structural relaxation, computed with PBE-GGA.

- Final energy: -5.452 eV per atom
- V: 203 Å³ per cell
- DFT formation energy: 60 meV per atom
- Symmetry: C2/m (12)

abc: 5.1050 5.1050 8.5478
angles: 75.48 75.48 73.97
Sites, in units of the cell vectors:
Sc: 0.6490 0.6490 0.0516
Sc: 0.0694 0.5667 0.2908
Sc: 0.9306 0.4333 0.7092
Sc: 0.5667 0.0694 0.2908
Sc: 0.3510 0.3510 0.9484
Tl: 0.5000 0.5000 0.5000
Al: 0.0000 0.0000 0.0000
Sc: 0.4333 0.9306 0.7092

| no. | size of the total moment (Bohr magnetons per cell) |
| --- | --- |
| 1 | 0.48 |
| 2 | 0.00 |